This record from Alexandria describes a relaxed structure of PtF3. The functional is PBE-GGA.

Cell: 6.6850 6.6850 6.6850 Å, 30.72 30.72 30.72°
Last column: nearest neighbours and their distance in Å.
Fractional coordinates of all 4 atoms:
Pt (0.5000, 0.5000, 0.5000)  6 F 2.17
F (0.8710, 0.8710, 0.8710)  3 Pt 2.17
F (0.1290, 0.1290, 0.1290)  3 Pt 2.17
F (0.0000, 0.0000, 0.0000)  2 F 2.46

Values from the calculation:
SG: R-3m
uncorrected formation energy: -0.235 eV per atom